No. 1
Material: CaLa3Pm
Method: DFT, PBE
State: optimized geometry

POSCAR file:
```
CaLa3Pm
1.0
3.1566 1.8225 11.9055
-3.1566 1.8225 11.9055
0.0000 -3.6449 11.9055
Ca La Pm
2 6 2
Cartesian
0.0000 0.0000 6.0324
0.0000 0.0000 29.6840
-2.0827 0.1329 14.6936
-1.1564 -1.7372 21.0228
0.9262 -1.8701 14.6936
-0.9262 1.8701 21.0228
1.1564 1.7372 14.6936
2.0826 -0.1329 21.0228
0.0000 0.0000 11.8681
0.0000 0.0000 23.8483
```

N(E_F) = 8.9 states/eV/f.u.
Total DFT energy (no corrections) = -3.971 eV per atom
Magnetic moment = 0.00 Bohr magnetons per cell
Relative energy among the computed polymorphs = 0.264 eV/atom
Symmetry = R-3

No. 2
Material: CaLa12Pm3
Method: DFT, PBE
State: optimized geometry

POSCAR file:
```
CaLa12Pm3
1.0
5.2740 0.0000 0.0000
0.0000 5.2740 0.0000
0.0000 0.0000 21.0318
Ca La Pm
1 12 3
Cartesian
0.0000 0.0000 0.0000
0.0000 2.6370 2.7101
0.0000 2.6370 7.8951
0.0000 2.6370 13.1366
0.0000 2.6370 18.3216
2.6370 0.0000 2.7101
2.6370 0.0000 7.8951
2.6370 0.0000 13.1366
2.6370 0.0000 18.3216
2.6370 2.6370 0.0000
2.6370 2.6370 5.2745
2.6370 2.6370 10.5159
2.6370 2.6370 15.7572
0.0000 0.0000 5.2646
0.0000 0.0000 10.5159
0.0000 0.0000 15.7672
```

N(E_F) = 25.1 states/eV/f.u.
Total DFT energy (no corrections) = -4.692 eV per atom
Magnetic moment = 0.00 Bohr magnetons per cell
Symmetry = P4/mmm

No. 3
Material: CaLaPm
Method: DFT, PBE
State: optimized geometry

POSCAR file:
```
CaLaPm
1.0
16.7659 -1.8344 0.0000
16.7659 1.8344 0.0000
-0.0034 0.0000 3.7306
Ca La Pm
2 2 2
Cartesian
1.6515 0.0000 0.9238
31.8767 0.0000 2.8068
12.2400 0.0000 0.9405
21.2883 0.0000 2.7901
7.0831 0.0000 0.9300
26.4452 0.0000 2.8007
```

N(E_F) = 4.1 states/eV/f.u.
Total DFT energy (no corrections) = -3.830 eV per atom
Magnetic moment = 0.00 Bohr magnetons per cell
Relative energy among the computed polymorphs = 0.029 eV/atom
Symmetry = C2/m

No. 4
Material: Ca2La6Pm
Method: DFT, PBE
State: optimized geometry

POSCAR file:
```
Ca2La6Pm
1.0
7.2528 0.0000 0.0000
2.3815 8.5610 0.0000
3.0126 2.8003 11.1457
Ca La Pm
4 12 2
Cartesian
2.6166 3.0582 5.5158
4.5672 6.6823 8.3655
8.0797 4.6790 2.7802
10.0303 8.3031 5.6299
5.7169 9.2312 11.0892
1.6040 0.6536 2.3837
4.4539 5.6213 3.1334
3.5591 3.0747 0.4277
7.2102 9.2484 7.7929
6.4678 7.5161 4.9433
6.1791 3.8452 6.2024
5.4368 2.1129 3.3527
9.0878 8.2866 10.7180
8.1930 5.7400 8.0123
11.0430 10.7078 8.7620
6.9300 2.1301 0.0564
5.3905 3.2741 9.7646
7.2565 8.0872 1.3811
```

N(E_F) = 13.3 states/eV/f.u.
Total DFT energy (no corrections) = -4.140 eV per atom
Magnetic moment = 0.00 Bohr magnetons per cell
Symmetry = P-1